This record from Alexandria describes Ce3U5O12 after structural relaxation. The functional is GGA-PBE.

a = 11.919 Å, b = 11.919 Å, c = 11.919 Å
α = 109.47°, β = 109.47°, γ = 109.47°
Site moments in Bohr magnetons follow the coordinates.
Fractional positions:
O (0.784, 0.327, 0.915)  -0.05
O (0.173, 0.085, 0.716)  -0.05
O (0.915, 0.827, 0.784)  -0.05
O (0.327, 0.543, 0.413)  -0.05
O (0.284, 0.870, 0.957)  -0.05
O (0.087, 0.915, 0.130)  -0.05
O (0.327, 0.784, 0.415)  -0.05
O (0.673, 0.216, 0.585)  -0.05
O (0.827, 0.915, 0.284)  -0.05
O (0.716, 0.130, 0.043)  -0.05
O (0.630, 0.043, 0.216)  -0.05
O (0.543, 0.327, 0.913)  -0.05
O (0.415, 0.284, 0.327)  -0.05
O (0.585, 0.870, 0.413)  -0.05
O (0.716, 0.585, 0.173)  -0.05
O (0.457, 0.784, 0.870)  -0.05
O (0.043, 0.413, 0.827)  -0.05
O (0.585, 0.716, 0.673)  -0.05
O (0.870, 0.284, 0.457)  -0.05
O (0.587, 0.957, 0.673)  -0.05
O (0.216, 0.543, 0.630)  -0.05
O (0.284, 0.415, 0.827)  -0.05
O (0.870, 0.585, 0.913)  -0.05
O (0.784, 0.457, 0.370)  -0.05
O (0.957, 0.587, 0.173)  -0.05
O (0.543, 0.216, 0.130)  -0.05
O (0.415, 0.130, 0.587)  -0.05
O (0.913, 0.827, 0.543)  -0.05
O (0.216, 0.673, 0.085)  -0.05
O (0.827, 0.913, 0.043)  -0.05
O (0.957, 0.370, 0.284)  -0.05
O (0.087, 0.173, 0.457)  -0.05
O (0.173, 0.087, 0.957)  -0.05
O (0.913, 0.085, 0.870)  -0.05
O (0.085, 0.913, 0.370)  -0.05
O (0.413, 0.370, 0.585)  -0.05
O (0.043, 0.630, 0.716)  -0.05
O (0.370, 0.413, 0.085)  -0.05
O (0.630, 0.587, 0.915)  -0.05
O (0.370, 0.957, 0.784)  -0.05
O (0.085, 0.173, 0.216)  -0.05
O (0.413, 0.043, 0.327)  -0.05
O (0.457, 0.673, 0.087)  -0.05
O (0.130, 0.716, 0.543)  -0.05
O (0.915, 0.087, 0.630)  -0.05
O (0.130, 0.415, 0.087)  -0.05
O (0.587, 0.630, 0.415)  -0.05
O (0.673, 0.457, 0.587)  -0.05
U (0.500, 0.500, 0.000)  2.08
U (0.625, 0.875, 0.250)  1.87
U (0.500, 0.000, 0.000)  2.08
U (0.250, 0.875, 0.125)  1.87
U (0.000, 0.000, 0.000)  2.08
U (0.750, 0.125, 0.875)  1.87
U (0.000, 0.000, 0.500)  2.08
U (0.625, 0.750, 0.875)  1.87
U (0.375, 0.125, 0.750)  1.87
U (0.125, 0.375, 0.250)  1.87
U (0.125, 0.750, 0.375)  1.87
U (0.000, 0.500, 0.000)  2.08
U (0.500, 0.500, 0.500)  2.08
U (0.875, 0.625, 0.750)  1.87
U (0.375, 0.250, 0.125)  1.87
U (0.750, 0.625, 0.375)  1.87
U (0.250, 0.375, 0.625)  1.87
U (0.500, 0.000, 0.500)  2.08
U (0.000, 0.500, 0.500)  2.08
U (0.875, 0.250, 0.625)  1.87
Ce (0.875, 0.750, 0.125)  1.07
Ce (0.875, 0.125, 0.250)  1.07
Ce (0.375, 0.625, 0.250)  1.07
Ce (0.375, 0.750, 0.625)  1.07
Ce (0.750, 0.375, 0.125)  1.07
Ce (0.250, 0.125, 0.375)  1.07
Ce (0.125, 0.250, 0.875)  1.07
Ce (0.750, 0.875, 0.625)  1.07
Ce (0.250, 0.625, 0.875)  1.07
Ce (0.125, 0.875, 0.750)  1.07
Ce (0.625, 0.375, 0.750)  1.07
Ce (0.625, 0.250, 0.375)  1.07

Properties
SG: No. 230
D(E_F): 34.9 states/eV/f.u.
Calculated volume: 1303.4 Å³ per cell
ΔE_f (raw): -2.910 eV per atom
E: -9.597 eV/atom